1.
# UTlCo, relaxed, DFT GGA-PBE
data_UTlCo
_chemical_formula_sum 'U4 Tl4 Co4'
_cell_length_a 6.689
_cell_length_b 6.689
_cell_length_c 6.689
_cell_angle_alpha 90.00
_cell_angle_beta 90.00
_cell_angle_gamma 90.00
_symmetry_space_group_name_H-M 'P 1'
_symmetry_Int_Tables_number 1
loop_
_symmetry_equiv_pos_as_xyz
'x,y,z'
loop_
_atom_site_label
_atom_site_type_symbol
_atom_site_fract_x
_atom_site_fract_y
_atom_site_fract_z
U1 U 0.000 0.000 0.000
U2 U 0.000 0.500 0.500
U3 U 0.500 0.000 0.500
U4 U 0.500 0.500 0.000
Tl1 Tl 0.250 0.250 0.750
Tl2 Tl 0.250 0.750 0.250
Tl3 Tl 0.750 0.250 0.250
Tl4 Tl 0.750 0.750 0.750
Co1 Co 0.000 0.000 0.500
Co2 Co 0.000 0.500 0.000
Co3 Co 0.500 0.000 0.000
Co4 Co 0.500 0.500 0.500
# space group: No. 216
# E_tot: -60.6 eV/cell

---

2.
# LaCoCuAs, relaxed, DFT GGA-PBE
data_LaCoCuAs
_chemical_formula_sum 'La4 Co4 Cu4 As4'
_cell_length_a 6.684
_cell_length_b 6.684
_cell_length_c 6.684
_cell_angle_alpha 90.00
_cell_angle_beta 90.00
_cell_angle_gamma 90.00
_symmetry_space_group_name_H-M 'P 1'
_symmetry_Int_Tables_number 1
loop_
_symmetry_equiv_pos_as_xyz
'x,y,z'
loop_
_atom_site_label
_atom_site_type_symbol
_atom_site_fract_x
_atom_site_fract_y
_atom_site_fract_z
La1 La 0.000 0.000 0.000
La2 La 0.000 0.500 0.500
La3 La 0.500 0.000 0.500
La4 La 0.500 0.500 0.000
Co1 Co 0.000 0.000 0.500
Co2 Co 0.000 0.500 0.000
Co3 Co 0.500 0.000 0.000
Co4 Co 0.500 0.500 0.500
Cu1 Cu 0.250 0.250 0.750
Cu2 Cu 0.250 0.750 0.250
Cu3 Cu 0.750 0.250 0.250
Cu4 Cu 0.750 0.750 0.750
As1 As 0.250 0.250 0.250
As2 As 0.250 0.750 0.750
As3 As 0.750 0.250 0.750
As4 As 0.750 0.750 0.250
# space group: No. 216
# excess energy over the best structure of this formula in the dataset: 0.146 eV/f.u.
# E_tot: -83.0 eV/cell

---

3.
# Cs2Pd, relaxed, DFT GGA-PBE
data_Cs2Pd
_chemical_formula_sum 'Cs4 Pd2'
_cell_length_a 7.118
_cell_length_b 7.118
_cell_length_c 7.118
_cell_angle_alpha 60.00
_cell_angle_beta 60.00
_cell_angle_gamma 60.00
_symmetry_space_group_name_H-M 'P 1'
_symmetry_Int_Tables_number 1
loop_
_symmetry_equiv_pos_as_xyz
'x,y,z'
loop_
_atom_site_label
_atom_site_type_symbol
_atom_site_fract_x
_atom_site_fract_y
_atom_site_fract_z
Cs1 Cs 0.000 0.000 0.000
Cs2 Cs 0.000 0.000 0.500
Cs3 Cs 0.000 0.500 0.000
Cs4 Cs 0.500 0.000 0.000
Pd1 Pd 0.375 0.375 0.375
Pd2 Pd 0.625 0.625 0.625
# space group: No. 227
# E_tot: -9.7 eV/cell

---

4.
# PrB4Pd, relaxed, DFT GGA-PBE
data_PrB4Pd
_chemical_formula_sum 'Pr1 B4 Pd1'
_cell_length_a 3.244
_cell_length_b 3.244
_cell_length_c 7.290
_cell_angle_alpha 90.00
_cell_angle_beta 90.00
_cell_angle_gamma 120.00
_symmetry_space_group_name_H-M 'P 1'
_symmetry_Int_Tables_number 1
loop_
_symmetry_equiv_pos_as_xyz
'x,y,z'
loop_
_atom_site_label
_atom_site_type_symbol
_atom_site_fract_x
_atom_site_fract_y
_atom_site_fract_z
Pr1 Pr 0.000 0.000 0.000
B1 B 0.333 0.667 0.283
B2 B 0.333 0.667 0.717
B3 B 0.667 0.333 0.283
B4 B 0.667 0.333 0.717
Pd1 Pd 0.000 0.000 0.500
# space group: No. 191
# excess energy over the best structure of this formula in the dataset: 0.000 eV/f.u.
# E_tot: -36.9 eV/cell

---

5.
# LaSmAsO, relaxed, DFT GGA-PBE
data_LaSmAsO
_chemical_formula_sum 'La2 Sm2 As2 O2'
_cell_length_a 4.348
_cell_length_b 7.866
_cell_length_c 6.236
_cell_angle_alpha 90.00
_cell_angle_beta 90.00
_cell_angle_gamma 90.00
_symmetry_space_group_name_H-M 'P 1'
_symmetry_Int_Tables_number 1
loop_
_symmetry_equiv_pos_as_xyz
'x,y,z'
loop_
_atom_site_label
_atom_site_type_symbol
_atom_site_fract_x
_atom_site_fract_y
_atom_site_fract_z
La1 La 0.000 0.203 0.000
La2 La 0.000 0.797 0.500
Sm1 Sm 0.500 0.391 0.575
Sm2 Sm 0.500 0.609 0.075
As1 As 0.000 0.172 0.492
As2 As 0.000 0.828 0.992
O1 O 0.500 0.332 0.937
O2 O 0.500 0.668 0.437
# space group: No. 26
# excess energy over the best structure of this formula in the dataset: 0.000 eV/f.u.
# E_tot: -54.4 eV/cell

---

6.
# Co2Ni4Se, relaxed, DFT GGA-PBE
data_Co2Ni4Se
_chemical_formula_sum 'Co4 Ni8 Se2'
_cell_length_a 6.379
_cell_length_b 6.627
_cell_length_c 4.196
_cell_angle_alpha 90.00
_cell_angle_beta 101.45
_cell_angle_gamma 90.00
_symmetry_space_group_name_H-M 'P 1'
_symmetry_Int_Tables_number 1
loop_
_symmetry_equiv_pos_as_xyz
'x,y,z'
loop_
_atom_site_label
_atom_site_type_symbol
_atom_site_fract_x
_atom_site_fract_y
_atom_site_fract_z
Co1 Co 0.148 0.000 0.219
Co2 Co 0.352 0.500 0.781
Co3 Co 0.648 0.500 0.219
Co4 Co 0.852 0.000 0.781
Ni1 Ni 0.165 0.189 0.720
Ni2 Ni 0.165 0.811 0.720
Ni3 Ni 0.335 0.311 0.280
Ni4 Ni 0.335 0.689 0.280
Ni5 Ni 0.665 0.311 0.720
Ni6 Ni 0.665 0.689 0.720
Ni7 Ni 0.835 0.189 0.280
Ni8 Ni 0.835 0.811 0.280
Se1 Se 0.000 0.500 0.000
Se2 Se 0.500 0.000 0.000
# space group: No. 12
# E_tot: -77.1 eV/cell

---

7.
# Al13Re16, relaxed, DFT GGA-PBE
data_Al13Re16
_chemical_formula_sum 'Al13 Re16'
_cell_length_a 8.196
_cell_length_b 8.196
_cell_length_c 8.196
_cell_angle_alpha 109.47
_cell_angle_beta 109.47
_cell_angle_gamma 109.47
_symmetry_space_group_name_H-M 'P 1'
_symmetry_Int_Tables_number 1
loop_
_symmetry_equiv_pos_as_xyz
'x,y,z'
loop_
_atom_site_label
_atom_site_type_symbol
_atom_site_fract_x
_atom_site_fract_y
_atom_site_fract_z
Al1 Al 0.000 0.000 0.000
Al2 Al 0.000 0.194 0.383
Al3 Al 0.000 0.383 0.194
Al4 Al 0.188 0.806 0.806
Al5 Al 0.194 0.000 0.383
Al6 Al 0.194 0.383 0.000
Al7 Al 0.383 0.000 0.194
Al8 Al 0.383 0.194 0.000
Al9 Al 0.617 0.617 0.812
Al10 Al 0.617 0.812 0.617
Al11 Al 0.806 0.188 0.806
Al12 Al 0.806 0.806 0.188
Al13 Al 0.812 0.617 0.617
Re1 Re 0.000 0.000 0.648
Re2 Re 0.000 0.412 0.691
Re3 Re 0.000 0.648 0.000
Re4 Re 0.000 0.691 0.412
Re5 Re 0.278 0.588 0.588
Re6 Re 0.309 0.309 0.722
Re7 Re 0.309 0.722 0.309
Re8 Re 0.352 0.352 0.352
Re9 Re 0.412 0.000 0.691
Re10 Re 0.412 0.691 0.000
Re11 Re 0.588 0.278 0.588
Re12 Re 0.588 0.588 0.278
Re13 Re 0.648 0.000 0.000
Re14 Re 0.691 0.000 0.412
Re15 Re 0.691 0.412 0.000
Re16 Re 0.722 0.309 0.309
# space group: No. 217
# excess energy over the best structure of this formula in the dataset: 0.390 eV/f.u.
# E_tot: -248.5 eV/cell

---

8.
# Dy3Sb3W2N12, relaxed, DFT GGA-PBE
data_Dy3Sb3W2N12
_chemical_formula_sum 'Dy12 Sb12 W8 N48'
_cell_length_a 11.118
_cell_length_b 11.118
_cell_length_c 11.118
_cell_angle_alpha 109.47
_cell_angle_beta 109.47
_cell_angle_gamma 109.47
_symmetry_space_group_name_H-M 'P 1'
_symmetry_Int_Tables_number 1
loop_
_symmetry_equiv_pos_as_xyz
'x,y,z'
loop_
_atom_site_label
_atom_site_type_symbol
_atom_site_fract_x
_atom_site_fract_y
_atom_site_fract_z
Dy1 Dy 0.125 0.250 0.375
Dy2 Dy 0.125 0.375 0.750
Dy3 Dy 0.250 0.375 0.125
Dy4 Dy 0.250 0.875 0.625
Dy5 Dy 0.375 0.125 0.250
Dy6 Dy 0.375 0.750 0.125
Dy7 Dy 0.625 0.250 0.875
Dy8 Dy 0.625 0.875 0.750
Dy9 Dy 0.750 0.125 0.375
Dy10 Dy 0.750 0.625 0.875
Dy11 Dy 0.875 0.625 0.250
Dy12 Dy 0.875 0.750 0.625
Sb1 Sb 0.125 0.750 0.875
Sb2 Sb 0.125 0.875 0.250
Sb3 Sb 0.250 0.125 0.875
Sb4 Sb 0.250 0.625 0.375
Sb5 Sb 0.375 0.250 0.625
Sb6 Sb 0.375 0.625 0.750
Sb7 Sb 0.625 0.375 0.250
Sb8 Sb 0.625 0.750 0.375
Sb9 Sb 0.750 0.375 0.625
Sb10 Sb 0.750 0.875 0.125
Sb11 Sb 0.875 0.125 0.750
Sb12 Sb 0.875 0.250 0.125
W1 W 0.000 0.000 0.000
W2 W 0.000 0.000 0.500
W3 W 0.000 0.500 0.000
W4 W 0.000 0.500 0.500
W5 W 0.500 0.000 0.000
W6 W 0.500 0.000 0.500
W7 W 0.500 0.500 0.000
W8 W 0.500 0.500 0.500
N1 N 0.030 0.202 0.117
N2 N 0.030 0.328 0.913
N3 N 0.085 0.702 0.672
N4 N 0.085 0.883 0.413
N5 N 0.087 0.617 0.415
N6 N 0.087 0.970 0.672
N7 N 0.117 0.030 0.202
N8 N 0.117 0.587 0.915
N9 N 0.172 0.202 0.585
N10 N 0.172 0.470 0.587
N11 N 0.202 0.117 0.030
N12 N 0.202 0.585 0.172
N13 N 0.298 0.328 0.915
N14 N 0.298 0.470 0.383
N15 N 0.328 0.913 0.030
N16 N 0.328 0.915 0.298
N17 N 0.383 0.298 0.470
N18 N 0.383 0.585 0.913
N19 N 0.413 0.085 0.883
N20 N 0.413 0.828 0.530
N21 N 0.415 0.087 0.617
N22 N 0.415 0.828 0.798
N23 N 0.470 0.383 0.298
N24 N 0.470 0.587 0.172
N25 N 0.530 0.413 0.828
N26 N 0.530 0.617 0.702
N27 N 0.585 0.172 0.202
N28 N 0.585 0.913 0.383
N29 N 0.587 0.172 0.470
N30 N 0.587 0.915 0.117
N31 N 0.617 0.415 0.087
N32 N 0.617 0.702 0.530
N33 N 0.672 0.085 0.702
N34 N 0.672 0.087 0.970
N35 N 0.702 0.530 0.617
N36 N 0.702 0.672 0.085
N37 N 0.798 0.415 0.828
N38 N 0.798 0.883 0.970
N39 N 0.828 0.530 0.413
N40 N 0.828 0.798 0.415
N41 N 0.883 0.413 0.085
N42 N 0.883 0.970 0.798
N43 N 0.913 0.030 0.328
N44 N 0.913 0.383 0.585
N45 N 0.915 0.117 0.587
N46 N 0.915 0.298 0.328
N47 N 0.970 0.672 0.087
N48 N 0.970 0.798 0.883
# space group: No. 230
# E_tot: -636.3 eV/cell

---

9.
# Gd3In3Cu2Ni, relaxed, DFT GGA-PBE
data_Gd3In3Cu2Ni
_chemical_formula_sum 'Gd3 In3 Cu2 Ni1'
_cell_length_a 7.515
_cell_length_b 7.515
_cell_length_c 3.904
_cell_angle_alpha 90.00
_cell_angle_beta 90.00
_cell_angle_gamma 120.00
_symmetry_space_group_name_H-M 'P 1'
_symmetry_Int_Tables_number 1
loop_
_symmetry_equiv_pos_as_xyz
'x,y,z'
loop_
_atom_site_label
_atom_site_type_symbol
_atom_site_fract_x
_atom_site_fract_y
_atom_site_fract_z
Gd1 Gd 0.000 0.591 0.000
Gd2 Gd 0.409 0.409 0.000
Gd3 Gd 0.591 0.000 0.000
In1 In 0.000 0.250 0.500
In2 In 0.250 0.000 0.500
In3 In 0.750 0.750 0.500
Cu1 Cu 0.333 0.667 0.500
Cu2 Cu 0.667 0.333 0.500
Ni1 Ni 0.000 0.000 0.000
# space group: No. 189
# E_tot: -39.2 eV/cell

---

10.
# Lu2TcAg, relaxed, DFT GGA-PBE
data_Lu2TcAg
_chemical_formula_sum 'Lu8 Tc4 Ag4'
_cell_length_a 6.844
_cell_length_b 6.844
_cell_length_c 6.844
_cell_angle_alpha 90.00
_cell_angle_beta 90.00
_cell_angle_gamma 90.00
_symmetry_space_group_name_H-M 'P 1'
_symmetry_Int_Tables_number 1
loop_
_symmetry_equiv_pos_as_xyz
'x,y,z'
loop_
_atom_site_label
_atom_site_type_symbol
_atom_site_fract_x
_atom_site_fract_y
_atom_site_fract_z
Lu1 Lu 0.000 0.000 0.000
Lu2 Lu 0.000 0.500 0.500
Lu3 Lu 0.250 0.250 0.250
Lu4 Lu 0.250 0.750 0.750
Lu5 Lu 0.500 0.000 0.500
Lu6 Lu 0.500 0.500 0.000
Lu7 Lu 0.750 0.250 0.750
Lu8 Lu 0.750 0.750 0.250
Tc1 Tc 0.000 0.000 0.500
Tc2 Tc 0.000 0.500 0.000
Tc3 Tc 0.500 0.000 0.000
Tc4 Tc 0.500 0.500 0.500
Ag1 Ag 0.250 0.250 0.750
Ag2 Ag 0.250 0.750 0.250
Ag3 Ag 0.750 0.250 0.250
Ag4 Ag 0.750 0.750 0.750
# space group: No. 216
# E_form: 0.21 eV/atom
# E_tot: -85.6 eV/cell